This record from the Alexandria database describes a relaxed structure of Sc2ReRh. The functional is PBE.

Results
Space group ... No. 10
DFT total energy ... -8.346 eV per atom
Theoretical density ... 9.17 g/cm³

a b c (Å): 4.180 2.910 5.714
angles (deg): 80.96 90.00 90.00
Element x y z (fractional)
Sc 0.000 0.512 0.498
Rh 0.500 0.750 0.750
Re 0.500 0.250 0.250
Sc 0.000 0.988 0.002